First-principles (PBE) data for BaZr2Cd after structural relaxation, as listed in OQMD.

Cell lengths 7.607, 7.607, 7.607 Å; angles 90.00, 90.00, 90.00 degrees
Space group F-43m (No. 216)
Inequivalent atoms, fractional coordinates:
Ba  0.000  0.000  0.000 x4
Zr  0.000  0.000  0.500 x4
Zr  0.250  0.250  0.750 x4
Cd  0.250  0.250  0.250 x4

Results
The value obtained for the total energy is -0.16681 hartree per atom. The value obtained for the density is 6.5 g/cm³. The total magnetization comes out at 7.68 μB/cell.

First-principles (PBE) data for Ho2Be2SiSn after structural relaxation, as listed in OQMD.

Cell lengths 4.0217, 4.0217, 8.1352 Å; angles 90.00, 90.00, 120.00 degrees
Space group P-6m2 (No. 187)
Inequivalent atoms, fractional coordinates:
Ho  0.0000  0.0000  0.2378 x2
Be  0.3333  0.6667  0.0000 x1
Be  0.6667  0.3333  0.5000 x1
Si  0.6667  0.3333  0.0000 x1
Sn  0.3333  0.6667  0.5000 x1

Results
The value obtained for the total energy is -0.17822 hartree per atom. The value obtained for the density is 7.2 g/cm³. The total magnetization comes out at 0.00 μB/cell.

First-principles (PBE) data for LuAg after structural relaxation, as listed in OQMD.

Cell lengths 6.382, 6.382, 6.382 Å; angles 90.00, 90.00, 90.00 degrees
Space group F-43m (No. 216)
Inequivalent atoms, fractional coordinates:
Lu  0.000  0.000  0.000 x4
Ag  0.250  0.250  0.250 x4

Results
The value obtained for the density is 7.2 g/cm³. The total magnetization comes out at 0.00 μB/cell. The value obtained for the energy relative to the elements is 467 meV per atom.

Which of these has the lowest density? BaZr2Cd